Entry 1:
TaCN2O | PBEsol | optimized geometry

Calculated values
Total magnetic moment   0.82 μB per cell
Formation energy without anion corrections   5.84 eV/f.u.
E_tot   -38.7 eV/cell

Unit cell a=4.094 b=4.094 c=3.830 alpha=90.00 beta=90.00 gamma=90.00
Space group P4/mmm (No. 123)
One atom of each set of equivalent atoms:
Ta  0.000  0.000  0.000 x1
C  0.500  0.500  0.500 x1
N  0.000  0.500  0.000 x2
O  0.000  0.000  0.500 x1



Entry 2:
TlCNO | PBEsol | optimized geometry

Calculated values
Total magnetic moment   0.00 μB per cell
Formation energy without anion corrections   -1.71 eV/f.u.
E_tot   -111.1 eV/cell

Unit cell a=7.023 b=6.236 c=6.276 alpha=90.00 beta=90.00 gamma=90.00
Space group Ima2 (No. 46)
One atom of each set of equivalent atoms:
Tl  0.000  0.000  0.000 x4
C  0.250  0.000  0.470 x4
N  0.250  0.132  0.330 x4
O  0.250  0.635  0.111 x4



Entry 3:
Tm2CN2O2 | PBEsol | optimized geometry

Calculated values
Total magnetic moment   0.00 μB per cell
Formation energy without anion corrections   -16.10 eV/f.u.
E_tot   -63.1 eV/cell

Unit cell a=3.6180 b=3.6180 c=8.0485 alpha=90.00 beta=90.00 gamma=120.00
Space group P-3m1 (No. 164)
One atom of each set of equivalent atoms:
Tm  0.3333  0.6667  0.1756 x2
C  0.0000  0.0000  0.5000 x1
N  0.0000  0.0000  0.3467 x2
O  0.3333  0.6667  0.8979 x2